Crystalline Na3Hf3CuO8 at its relaxed geometry, computed with GGA-PBE.

Calculated values
SG	R-3m (166)
formation energy without anion corrections	-37.65	eV/f.u.
total magnetic moment	0.08	μB/f.u.
theoretical density	6.768	g/cm³

```
15
Lattice="3.195 1.845 5.523 -3.195 1.845 5.523 0.000 -3.689 5.523" Properties=species:S:1:pos:R:3 pbc="T T T"
Na -1.598 -0.922 5.523
Na -1.598 0.922 11.046
Na 0.000 1.845 5.523
Hf -3.195 0.000 8.285
Hf -1.598 0.922 2.762
Hf 1.598 0.922 2.762
Cu 0.000 0.000 8.285
O -1.725 -0.996 9.377
O 0.000 0.000 3.919
O 0.000 -1.992 7.193
O -1.725 0.996 7.193
O 1.725 -0.996 9.377
O 0.000 1.992 9.377
O 0.000 0.000 12.651
O 1.725 0.996 7.193
```